An optimized crystal structure of CdInOsS2, computed with PBE.

Unit cell a=4.974 b=4.974 c=5.662 alpha=90.00 beta=90.00 gamma=90.00
Space group P4/mmm (No. 123)
Inequivalent atoms, fractional coordinates:
Cd1 0.000 0.000 0.000 x1
In1 0.000 0.000 0.500 x1
Os1 0.500 0.500 0.000 x1
S1 0.000 0.500 0.500 x2

Output
The energy comes out at -15.370 eV per formula unit.